4
Lattice="3.3270 0.0000 0.0000 0.0000 3.3270 0.0000 0.0000 0.0000 7.8087" Properties=species:S:1:pos:R:3 comment="ZrTl2Cr PBE relaxed" e_form_ev_per_atom=0.296 sg="No. 123" relative_energy_mev_per_atom=7 final_energy_ev_per_atom=-5.430 pbc="T T T"
Zr 0.0000 0.0000 0.0000
Tl 1.6635 1.6635 2.0818
Tl 1.6635 1.6635 5.7269
Cr 0.0000 0.0000 3.9044

***

8
Lattice="11.2668 0.0000 0.0000 0.0000 3.2901 0.0000 -2.1697 0.0000 4.4890" Properties=species:S:1:pos:R:3 comment="Zr2TlCr PBE relaxed" e_form_ev_per_atom=0.204 sg="No. 8" relative_energy_mev_per_atom=154 final_energy_ev_per_atom=-7.067 pbc="T T T"
Zr 0.0000 0.0000 0.0000
Zr 0.9330 0.0000 3.2580
Zr 5.6334 1.6450 0.0000
Zr 6.5664 1.6450 3.2580
Tl 4.0786 0.0000 2.0147
Tl 9.7120 1.6450 2.0147
Cr 1.9798 1.6450 1.0100
Cr 7.6132 0.0000 1.0100

***

5
Lattice="5.0107 0.0000 0.0000 0.0000 5.0107 0.0000 0.0000 0.0000 5.0107" Properties=species:S:1:pos:R:3 comment="ZrTlCr3 PBE relaxed" e_form_ev_per_atom=1.674 sg="No. 221" relative_energy_mev_per_atom=0 final_energy_ev_per_atom=-6.283 pbc="T T T"
Zr 0.0000 0.0000 0.0000
Tl 2.5054 2.5054 2.5054
Cr 0.0000 2.5054 2.5054
Cr 2.5054 0.0000 2.5054
Cr 2.5054 2.5054 0.0000

***

16
Lattice="7.0302 0.0000 0.0000 0.0000 7.0302 0.0000 0.0000 0.0000 7.0302" Properties=species:S:1:pos:R:3 comment="ZrTl2Cr PBE relaxed" e_form_ev_per_atom=0.376 sg="No. 225" relative_energy_mev_per_atom=87 final_energy_ev_per_atom=-5.350 pbc="T T T"
Zr 0.0000 0.0000 0.0000
Zr 0.0000 3.5151 3.5151
Zr 3.5151 0.0000 3.5151
Zr 3.5151 3.5151 0.0000
Tl 1.7576 1.7576 1.7576
Tl 1.7576 1.7576 5.2727
Tl 1.7576 5.2727 1.7576
Tl 1.7576 5.2727 5.2727
Tl 5.2727 1.7576 1.7576
Tl 5.2727 1.7576 5.2727
Tl 5.2727 5.2727 1.7576
Tl 5.2727 5.2727 5.2727
Cr 0.0000 0.0000 3.5151
Cr 0.0000 3.5151 0.0000
Cr 3.5151 0.0000 0.0000
Cr 3.5151 3.5151 3.5151

***

> Number 3 is which compound?

ZrTlCr3